Entry 1:
# Zn2H12N5Cl GGA-PBE relaxed
# E_tot = -190.69 eV per cell
data_Zn2H12N5Cl
_cell_length_a 5.680
_cell_length_b 10.092
_cell_length_c 6.237
_cell_angle_alpha 90.00
_cell_angle_beta 90.00
_cell_angle_gamma 90.00
_space_group_name_H-M_alt 'P 21 21 2'
_space_group_IT_number 18
_space_group_name_Hall 'P 2 2ab'
loop_
_atom_site_label
_atom_site_fract_x
_atom_site_fract_y
_atom_site_fract_z
Zn1 0.106 0.163 0.455
H1 0.004 0.737 0.082
H2 0.015 0.361 0.705
H3 0.022 0.404 0.455
H4 0.137 0.976 0.710
H5 0.143 0.122 0.038
H6 0.144 0.882 0.086
N1 0.000 0.000 0.610
N2 0.010 0.165 0.127
N3 0.040 0.668 0.556
Cl1 0.000 0.500 0.050

***

Entry 2:
# ZnH12N3Cl5 GGA-PBE relaxed
# E_tot = -362.50 eV per cell
data_ZnH12N3Cl5
_cell_length_a 8.612
_cell_length_b 9.759
_cell_length_c 12.348
_cell_angle_alpha 90.00
_cell_angle_beta 90.00
_cell_angle_gamma 90.00
_space_group_name_H-M_alt 'P n m a'
_space_group_IT_number 62
_space_group_name_Hall '-P 2ac 2n'
loop_
_atom_site_label
_atom_site_fract_x
_atom_site_fract_y
_atom_site_fract_z
Zn1 0.185 0.250 0.107
H1 0.006 0.750 0.391
H2 0.008 0.577 0.164
H3 0.063 0.164 0.501
H4 0.078 0.546 0.760
H5 0.109 0.541 0.895
H6 0.184 0.085 0.813
H7 0.188 0.250 0.582
N1 0.079 0.250 0.548
N2 0.091 0.018 0.826
Cl1 0.043 0.750 0.990
Cl2 0.124 0.250 0.285
Cl3 0.167 0.750 0.263
Cl4 0.189 0.554 0.564

***

Entry 3:
# NaZn4H18SClO16 GGA-PBE relaxed
# E_tot = -402.18 eV per cell
data_NaZn4H18SClO16
_cell_length_a 8.2104
_cell_length_b 8.2104
_cell_length_c 12.6122
_cell_angle_alpha 90.00
_cell_angle_beta 90.00
_cell_angle_gamma 120.00
_space_group_name_H-M_alt 'P -3'
_space_group_IT_number 147
_space_group_name_Hall '-P 3'
loop_
_atom_site_label
_atom_site_fract_x
_atom_site_fract_y
_atom_site_fract_z
Na1 0.3333 0.6667 0.0873
Zn1 0.0000 0.0000 0.3508
Zn2 0.1271 0.7143 0.4938
H1 0.0136 0.4576 0.2060
H2 0.0368 0.2986 0.9986
H3 0.0749 0.3044 0.1945
H4 0.0870 0.3284 0.6648
H5 0.1184 0.4691 0.3472
H6 0.1738 0.4140 0.9066
S1 0.3333 0.6667 0.7344
Cl1 0.0000 0.0000 0.1704
O1 0.0609 0.2502 0.6006
O2 0.1044 0.4767 0.4250
O3 0.1228 0.4378 0.2115
O4 0.1673 0.4904 0.7745
O5 0.1732 0.3828 0.9822
O6 0.3333 0.6667 0.6169

***

Entry 4:
# NdH12Cl3O6 GGA-PBE relaxed
# E_tot = -217.55 eV per cell
data_NdH12Cl3O6
_cell_length_a 7.901
_cell_length_b 6.443
_cell_length_c 11.979
_cell_angle_alpha 90.00
_cell_angle_beta 127.59
_cell_angle_gamma 90.00
_space_group_name_H-M_alt 'P 1 2/c 1'
_space_group_IT_number 13
_space_group_name_Hall '-P 2yc'
loop_
_atom_site_label
_atom_site_fract_x
_atom_site_fract_y
_atom_site_fract_z
Nd1 0.000 0.146 0.250
H1 0.030 0.447 0.892
H2 0.205 0.474 0.180
H3 0.254 0.091 0.135
H4 0.336 0.098 0.739
H5 0.382 0.340 0.538
H6 0.475 0.257 0.462
Cl1 0.210 0.179 0.952
Cl2 0.500 0.378 0.750
O1 0.060 0.426 0.141
O2 0.269 0.040 0.219
O3 0.340 0.302 0.444

***

Entry 5:
# NdPuH2Cl4 GGA-PBE relaxed
# E_tot = -45.99 eV per cell
data_NdPuH2Cl4
_cell_length_a 3.8862
_cell_length_b 3.8862
_cell_length_c 13.3017
_cell_angle_alpha 90.00
_cell_angle_beta 90.00
_cell_angle_gamma 120.00
_space_group_name_H-M_alt 'P -6 m 2'
_space_group_IT_number 187
_space_group_name_Hall 'P -6 2'
loop_
_atom_site_label
_atom_site_fract_x
_atom_site_fract_y
_atom_site_fract_z
Nd1 0.0000 0.0000 0.0000
Pu1 0.0000 0.0000 0.5000
H1 0.3333 0.6667 0.5000
H2 0.6667 0.3333 0.0000
Cl1 0.3333 0.6667 0.1351
Cl2 0.6667 0.3333 0.3682

***

Entry 6:
# NdScH2Cl4 GGA-PBE relaxed
# E_tot = -38.14 eV per cell
data_NdScH2Cl4
_cell_length_a 3.7156
_cell_length_b 3.7156
_cell_length_c 13.2727
_cell_angle_alpha 90.00
_cell_angle_beta 90.00
_cell_angle_gamma 120.00
_space_group_name_H-M_alt 'P -6 m 2'
_space_group_IT_number 187
_space_group_name_Hall 'P -6 2'
loop_
_atom_site_label
_atom_site_fract_x
_atom_site_fract_y
_atom_site_fract_z
Nd1 0.0000 0.0000 0.0000
Sc1 0.0000 0.0000 0.5000
H1 0.3333 0.6667 0.5000
H2 0.6667 0.3333 0.0000
Cl1 0.3333 0.6667 0.1396
Cl2 0.6667 0.3333 0.3770

***

Entry 7:
# TbNdH2Cl4 GGA-PBE relaxed
# E_tot = -37.64 eV per cell
data_TbNdH2Cl4
_cell_length_a 3.8425
_cell_length_b 3.8425
_cell_length_c 13.3003
_cell_angle_alpha 90.00
_cell_angle_beta 90.00
_cell_angle_gamma 120.00
_space_group_name_H-M_alt 'P -6 m 2'
_space_group_IT_number 187
_space_group_name_Hall 'P -6 2'
loop_
_atom_site_label
_atom_site_fract_x
_atom_site_fract_y
_atom_site_fract_z
Tb1 0.0000 0.0000 0.0000
Nd1 0.0000 0.0000 0.5000
H1 0.3333 0.6667 0.0000
H2 0.6667 0.3333 0.5000
Cl1 0.3333 0.6667 0.3642
Cl2 0.6667 0.3333 0.1297

***

Entry 8:
# NdYH2Cl4 GGA-PBE relaxed
# E_tot = -39.41 eV per cell
data_NdYH2Cl4
_cell_length_a 3.8364
_cell_length_b 3.8364
_cell_length_c 13.3051
_cell_angle_alpha 90.00
_cell_angle_beta 90.00
_cell_angle_gamma 120.00
_space_group_name_H-M_alt 'P -6 m 2'
_space_group_IT_number 187
_space_group_name_Hall 'P -6 2'
loop_
_atom_site_label
_atom_site_fract_x
_atom_site_fract_y
_atom_site_fract_z
Nd1 0.0000 0.0000 0.0000
Y1 0.0000 0.0000 0.5000
H1 0.3333 0.6667 0.5000
H2 0.6667 0.3333 0.0000
Cl1 0.3333 0.6667 0.1359
Cl2 0.6667 0.3333 0.3703

***

- Which formula does entry 8 have?
  NdYH2Cl4